VASP calculation (PBE-GGA) on a relaxed structure of KBa3P.

abc: 6.4832 6.4832 6.4832
angles: 90.00 90.00 90.00
Fractional coordinates of all 5 atoms:
K  0.0000  0.0000  0.0000
Ba  0.0000  0.5000  0.5000
Ba  0.5000  0.0000  0.5000
Ba  0.5000  0.5000  0.0000
P  0.5000  0.5000  0.5000

Summary:
- ΔE_f (kcal/mol of atoms) = -9.9
- ΔE to the lowest computed polymorph (eV per atom) = 0.000

=====

VASP calculation (PBE-GGA) on a relaxed structure of KBa3P.

abc: 12.3730 12.3730 12.3730
angles: 37.51 37.51 37.51
Fractional coordinates of all 10 atoms:
K  0.1647  0.1647  0.1647
K  0.8353  0.8353  0.8353
Ba  0.0509  0.7081  0.3982
Ba  0.2919  0.6018  0.9491
Ba  0.3982  0.0509  0.7081
Ba  0.6018  0.9491  0.2919
Ba  0.7081  0.3982  0.0509
Ba  0.9491  0.2919  0.6018
P  0.3341  0.3341  0.3341
P  0.6659  0.6659  0.6659

Summary:
- ΔE_f (kcal/mol of atoms) = -9.3
- ΔE to the lowest computed polymorph (eV per atom) = 0.029

=====

VASP calculation (PBE-GGA) on a relaxed structure of KBaP.

abc: 5.9180 5.9180 5.9180
angles: 136.34 136.34 63.45
Fractional coordinates of all 3 atoms:
K  0.0000  0.0000  0.0000
Ba  0.6957  0.6957  0.0000
P  0.3264  0.3264  0.0000

Summary:
- ΔE_f (kcal/mol of atoms) = -9.5

=====

VASP calculation (PBE-GGA) on a relaxed structure of K2BaP.

abc: 7.2090 7.2090 7.2090
angles: 43.65 43.65 43.65
Fractional coordinates of all 4 atoms:
K  0.2135  0.2135  0.2135
K  0.7865  0.7865  0.7865
Ba  0.0000  0.0000  0.0000
P  0.5000  0.5000  0.5000

Summary:
- ΔE_f (kcal/mol of atoms) = 1.0

=====

VASP calculation (PBE-GGA) on a relaxed structure of KBa2P.

abc: 11.6954 11.6954 11.6954
angles: 159.18 157.48 30.86
Fractional coordinates of all 4 atoms:
K  0.0000  0.0000  0.0000
Ba  0.3340  0.3340  0.0000
Ba  0.6874  0.1874  0.5000
P  0.2334  0.7334  0.5000

Summary:
- ΔE_f (kcal/mol of atoms) = -11.1

=====

VASP calculation (PBE-GGA) on a relaxed structure of KBa2P2.

abc: 9.2695 9.2695 3.8964
angles: 90.00 90.00 90.00
Fractional coordinates of all 10 atoms:
K  0.0000  0.0000  0.0000
K  0.5000  0.5000  0.0000
Ba  0.1350  0.3650  0.5000
Ba  0.3650  0.8650  0.5000
Ba  0.6350  0.1350  0.5000
Ba  0.8650  0.6350  0.5000
P  0.1645  0.6645  0.0000
P  0.3355  0.1645  0.0000
P  0.6645  0.8355  0.0000
P  0.8355  0.3355  0.0000

Summary:
- ΔE_f (kcal/mol of atoms) = -15.3
- ΔE to the lowest computed polymorph (eV per atom) = 0.000

=====

VASP calculation (PBE-GGA) on a relaxed structure of KBa2P.

abc: 4.5146 9.4081 9.4081
angles: 29.84 90.00 90.00
Fractional coordinates of all 4 atoms:
K  0.0000  0.0000  0.0000
Ba  0.0000  0.3348  0.3348
Ba  0.5000  0.6840  0.6840
P  0.5000  0.8503  0.8503

Summary:
- ΔE_f (kcal/mol of atoms) = -10.0

=====

VASP calculation (PBE-GGA) on a relaxed structure of KBa2P.

abc: 8.6342 8.6342 8.6342
angles: 151.53 137.02 52.37
Fractional coordinates of all 4 atoms:
K  0.0000  0.0000  0.0000
Ba  0.3544  0.8544  0.5000
Ba  0.6456  0.1456  0.5000
P  0.5000  0.5000  0.0000

Summary:
- ΔE_f (kcal/mol of atoms) = -9.3

=====

VASP calculation (PBE-GGA) on a relaxed structure of K2BaP.

abc: 4.7514 4.3855 9.8321
angles: 90.00 103.84 90.00
Fractional coordinates of all 4 atoms:
K  0.0000  0.0000  0.0000
K  0.3051  0.5000  0.6174
Ba  0.6486  0.5000  0.2988
P  0.1736  0.0000  0.3493

Summary:
- ΔE_f (kcal/mol of atoms) = -8.8

=====

VASP calculation (PBE-GGA) on a relaxed structure of K2BaP.

abc: 4.1725 4.1725 11.0588
angles: 90.00 90.00 90.00
Fractional coordinates of all 4 atoms:
K  0.0000  0.0000  0.0000
K  0.5000  0.5000  0.3539
Ba  0.5000  0.5000  0.6536
P  0.0000  0.0000  0.5352

Summary:
- ΔE_f (kcal/mol of atoms) = -6.9

=====

VASP calculation (PBE-GGA) on a relaxed structure of KBa2P.

abc: 4.6593 4.6593 12.2475
angles: 100.68 100.68 60.02
Fractional coordinates of all 4 atoms:
K  0.0000  0.0000  0.0000
Ba  0.2131  0.2131  0.6435
Ba  0.7869  0.7869  0.3565
P  0.5000  0.5000  0.5000

Summary:
- ΔE_f (kcal/mol of atoms) = -14.2

=====

VASP calculation (PBE-GGA) on a relaxed structure of KBa2P.

abc: 4.5233 4.5233 11.5902
angles: 90.00 90.00 90.00
Fractional coordinates of all 4 atoms:
K  0.0000  0.0000  0.0000
Ba  0.0000  0.0000  0.4046
Ba  0.5000  0.5000  0.6945
P  0.5000  0.5000  0.4437

Summary:
- ΔE_f (kcal/mol of atoms) = -8.7

=====

Question: ΔE_f of number 11 (KBa2P)?
Answer: -14.2 kcal/mol of atoms

=====

Question: Look up the ΔE_f of the tenth one.
Answer: -6.9 kcal/mol of atoms

=====

Please write out number 8 again, unchanged.
VASP calculation (PBE-GGA) on a relaxed structure of KBa2P.

abc: 8.6342 8.6342 8.6342
angles: 151.53 137.02 52.37
Fractional coordinates of all 4 atoms:
K  0.0000  0.0000  0.0000
Ba  0.3544  0.8544  0.5000
Ba  0.6456  0.1456  0.5000
P  0.5000  0.5000  0.0000

Summary:
- ΔE_f (kcal/mol of atoms) = -9.3

=====

Question: Among the records above, which one has the lowest ΔE_f?
Answer: KBa2P2